# Li3Sm2Pb4 (PBE-GGA, optimized geometry)
# ΔH_f (0 K): -0.39 eV/atom
# D(E_F): 3.836 states/eV/f.u.
# Calculated density: 8.633 g/cm³
data_Li3Sm2Pb4
_chemical_formula_sum 'Li12 Sm8 Pb16'
_symmetry_space_group_name_H-M 'C m c e'
_symmetry_Int_Tables_number 64
_symmetry_space_group_name_Hall '-C 2ac 2'
_cell_length_a 6.545
_cell_length_b 16.371
_cell_length_c 8.260
_cell_angle_alpha 90.00
_cell_angle_beta 90.00
_cell_angle_gamma 90.00
loop_
_atom_site_label
_atom_site_fract_x
_atom_site_fract_y
_atom_site_fract_z
_atom_site_occupancy
Li1 0.000 0.000 0.000 1
Li2 0.250 0.224 0.250 1
Sm1 0.000 0.109 0.594 1
Pb1 0.000 0.181 0.973 1
Pb2 0.250 0.052 0.250 1

# LiSm2Pb2 (PBE-GGA, optimized geometry)
# ΔH_f (0 K): -0.42 eV/atom
# D(E_F): 2.872 states/eV/f.u.
# Calculated density: 8.368 g/cm³
data_LiSm2Pb2
_chemical_formula_sum 'Li4 Sm8 Pb8'
_symmetry_space_group_name_H-M 'I b a m'
_symmetry_Int_Tables_number 72
_symmetry_space_group_name_Hall '-I 2 2c'
_cell_length_a 6.682
_cell_length_b 13.199
_cell_length_c 6.499
_cell_angle_alpha 90.00
_cell_angle_beta 90.00
_cell_angle_gamma 90.00
loop_
_atom_site_label
_atom_site_fract_x
_atom_site_fract_y
_atom_site_fract_z
_atom_site_occupancy
Li1 0.000 0.000 0.250 1
Sm1 0.215 0.362 0.000 1
Pb1 0.236 0.118 0.000 1